# KTlAg2Rh

A relaxed KTlAg2Rh crystal (PBE, Alexandria).

Cell lengths 5.508, 4.868, 5.508 Å; angles 90.00, 90.00, 90.00 degrees
Atoms (fractional coordinates):
1 Tl 0.500 0.500 0.500
2 Rh 0.000 0.500 0.000
3 K 0.000 0.000 0.000
4 Ag 0.000 0.000 0.500
5 Ag 0.500 0.000 0.000

Calculated values
The calculation puts the density at 6.32 g/cm³. Its energy relative to the elements is 1273.2 meV/atom. Its symmetry is P4/mmm (123). The value obtained for the total DFT energy (no corrections) is -0.0746 Ha/atom.

***

# K2Tl6AgRh

A relaxed K2Tl6AgRh crystal (PBE, Alexandria).

Cell lengths 5.956, 7.652, 7.652 Å; angles 120.00, 90.00, 90.00 degrees
Atoms (fractional coordinates):
1 K 0.282 0.333 0.667
2 K 0.718 0.667 0.333
3 Tl 0.776 0.185 0.371
4 Tl 0.776 0.185 0.815
5 Tl 0.776 0.629 0.815
6 Tl 0.224 0.815 0.185
7 Tl 0.224 0.371 0.185
8 Tl 0.224 0.815 0.629
9 Ag 0.500 0.000 0.000
10 Rh 0.000 0.000 0.000

Calculated values
The calculation puts the density at 8.33 g/cm³. Its energy relative to the elements is 10.7 meV/atom. Its symmetry is P-3m1 (164). The value obtained for the total DFT energy (no corrections) is -0.0973 Ha/atom.

***

# KV2AgRh

A relaxed KV2AgRh crystal (PBE, Alexandria).

Cell lengths 5.068, 5.081, 5.068 Å; angles 90.00, 90.00, 90.00 degrees
Each line ends with the local moment (μB).
Atoms (fractional coordinates):
1 K 0.500 0.500 0.500  0.03
2 Rh 0.000 0.500 0.000  -0.32
3 Ag 0.000 0.000 0.000  0.10
4 V 0.000 0.000 0.500  2.66
5 V 0.500 0.000 0.000  2.94

Calculated values
The calculation puts the density at 4.48 g/cm³. Its energy relative to the elements is 1446.3 meV/atom. Its symmetry is P4/mmm (123). The value obtained for the total DFT energy (no corrections) is -0.1639 Ha/atom.

***

# KAgRhW2

A relaxed KAgRhW2 crystal (PBE, Alexandria).

Cell lengths 4.898, 5.288, 4.898 Å; angles 90.00, 90.00, 90.00 degrees
Each line ends with the local moment (μB).
Atoms (fractional coordinates):
1 K 0.000 0.500 0.000  0.01
2 Rh 0.500 0.500 0.500  -0.14
3 Ag 0.000 0.000 0.000  0.03
4 W 0.000 0.000 0.500  0.86
5 W 0.500 0.000 0.000  0.94

Calculated values
The calculation puts the density at 8.08 g/cm³. Its energy relative to the elements is 2771.6 meV/atom. Its symmetry is P4/mmm (123). The value obtained for the total DFT energy (no corrections) is -0.1716 Ha/atom.

***

# K2AgRu

A relaxed K2AgRu crystal (PBE, Alexandria).

Cell lengths 5.333, 4.363, 4.363 Å; angles 90.00, 90.00, 90.00 degrees
Each line ends with the local moment (μB).
Atoms (fractional coordinates):
1 Ag 0.500 0.000 0.500  0.01
2 K 0.000 0.000 0.000  -0.01
3 K 0.000 0.500 0.500  -0.01
4 Ru 0.500 0.500 0.000  1.58

Calculated values
The calculation puts the density at 4.70 g/cm³. Its energy relative to the elements is 1008.6 meV/atom. Its symmetry is P4/mmm (123). The value obtained for the total DFT energy (no corrections) is -0.0945 Ha/atom.

***

# KAg2Ru

A relaxed KAg2Ru crystal (PBE, Alexandria).

Cell lengths 5.494, 5.494, 5.494 Å; angles 134.30, 134.30, 66.62 degrees
Each line ends with the local moment (μB).
Atoms (fractional coordinates):
1 Ag 0.000 0.000 0.000  0.01
2 Ag 0.250 0.750 0.500  0.01
3 K 0.500 0.500 0.000  0.00
4 Ru 0.750 0.250 0.500  1.76

Calculated values
The calculation puts the density at 7.07 g/cm³. Its energy relative to the elements is 937.2 meV/atom. Its symmetry is I-4m2 (119). The value obtained for the total DFT energy (no corrections) is -0.1133 Ha/atom.

***

# K2AgRu

A relaxed K2AgRu crystal (PBE, Alexandria).

Cell lengths 3.006, 4.332, 9.758 Å; angles 90.00, 90.00, 90.00 degrees
Each line ends with the local moment (μB).
Atoms (fractional coordinates):
1 Ag 0.500 0.500 0.668  0.06
2 K 0.000 0.000 0.911  0.00
3 K 0.500 0.500 0.337  0.00
4 Ru 0.000 0.000 0.585  1.44

Calculated values
The calculation puts the density at 3.75 g/cm³. Its energy relative to the elements is 718.4 meV/atom. Its symmetry is Pmm2 (25). The value obtained for the total DFT energy (no corrections) is -0.1052 Ha/atom.

***

# KAgRu3

A relaxed KAgRu3 crystal (PBE, Alexandria).

Cell lengths 4.660, 4.660, 4.660 Å; angles 90.00, 90.00, 90.00 degrees
Each line ends with the local moment (μB).
Atoms (fractional coordinates):
1 Ru 0.000 0.500 0.000  1.87
2 Ru 0.000 0.000 0.500  1.60
3 Ru 0.500 0.000 0.000  1.69
4 K 0.000 0.000 0.000  0.04
5 Ag 0.500 0.500 0.500  0.01

Calculated values
The calculation puts the density at 7.39 g/cm³. Its energy relative to the elements is 2842.6 meV/atom. Its symmetry is Pm-3m (221). The value obtained for the total DFT energy (no corrections) is -0.1291 Ha/atom.

***

# KAg2Ru

A relaxed KAg2Ru crystal (PBE, Alexandria).

Cell lengths 4.943, 4.943, 4.943 Å; angles 60.00, 60.00, 60.00 degrees
Each line ends with the local moment (μB).
Atoms (fractional coordinates):
1 Ru 0.500 0.500 0.500  1.74
2 K 0.000 0.000 0.000  0.00
3 Ag 0.250 0.250 0.250  0.03
4 Ag 0.750 0.750 0.750  0.03

Calculated values
The calculation puts the density at 6.92 g/cm³. Its energy relative to the elements is 931.0 meV/atom. Its symmetry is Fm-3m (225). The value obtained for the total DFT energy (no corrections) is -0.1135 Ha/atom.

***

# K2AgRu

A relaxed K2AgRu crystal (PBE, Alexandria).

Cell lengths 6.555, 6.555, 6.265 Å; angles 74.21, 74.21, 24.72 degrees
Each line ends with the local moment (μB).
Atoms (fractional coordinates):
1 Ag 0.204 0.204 0.227  0.01
2 K 0.976 0.976 0.069  0.00
3 K 0.777 0.777 0.675  0.00
4 Ru 0.543 0.543 0.529  0.72

Calculated values
The calculation puts the density at 4.41 g/cm³. Its energy relative to the elements is 775.3 meV/atom. Its symmetry is Cm (8). The value obtained for the total DFT energy (no corrections) is -0.1031 Ha/atom.

***

# K2AgRu

A relaxed K2AgRu crystal (PBE, Alexandria).

Cell lengths 6.873, 6.204, 2.860 Å; angles 89.90, 65.62, 117.31 degrees
Atoms (fractional coordinates):
1 Ag 0.500 0.500 0.000
2 K 0.000 0.000 0.000
3 K 0.500 0.000 0.500
4 Ru 0.000 0.500 0.500

Calculated values
The calculation puts the density at 4.97 g/cm³. Its energy relative to the elements is 926.2 meV/atom. Its symmetry is C2/m (12). The value obtained for the total DFT energy (no corrections) is -0.0975 Ha/atom.

***

# K2AgRu

A relaxed K2AgRu crystal (PBE, Alexandria).

Cell lengths 5.781, 5.781, 5.867 Å; angles 85.36, 85.36, 28.28 degrees
Atoms (fractional coordinates):
1 Ag 0.250 0.250 0.250
2 K 0.004 0.004 0.995
3 K 0.496 0.496 0.505
4 Ru 0.750 0.750 0.750

Calculated values
The calculation puts the density at 5.15 g/cm³. Its energy relative to the elements is 950.5 meV/atom. Its symmetry is C2/m (12). The value obtained for the total DFT energy (no corrections) is -0.0967 Ha/atom.

***

# K2AgRu

A relaxed K2AgRu crystal (PBE, Alexandria).

Cell lengths 5.379, 2.839, 6.756 Å; angles 67.91, 90.00, 90.00 degrees
Atoms (fractional coordinates):
1 Ag 0.500 0.750 0.750
2 K 0.000 0.987 0.007
3 K 0.000 0.513 0.493
4 Ru 0.500 0.250 0.250

Calculated values
The calculation puts the density at 4.99 g/cm³. Its energy relative to the elements is 922.0 meV/atom. Its symmetry is P2/m (10). The value obtained for the total DFT energy (no corrections) is -0.0977 Ha/atom.

***

# K2AgRu

A relaxed K2AgRu crystal (PBE, Alexandria).

Cell lengths 7.236, 7.236, 7.236 Å; angles 157.39, 130.84, 54.75 degrees
Each line ends with the local moment (μB).
Atoms (fractional coordinates):
1 Ag 0.287 0.787 0.500  0.01
2 K 0.021 0.021 0.000  0.00
3 K 0.722 0.222 0.500  0.00
4 Ru 0.469 0.469 0.000  0.66

Calculated values
The calculation puts the density at 4.35 g/cm³. Its energy relative to the elements is 814.2 meV/atom. Its symmetry is Imm2 (44). The value obtained for the total DFT energy (no corrections) is -0.1017 Ha/atom.